# 1
# Mn2V8Cr, relaxed, DFT PBE
# Calculated formation energy = -0.11 eV/atom
# Magnetization = 0.000 μB/atom
# Space group = C2/m
# DOS at the Fermi energy = 13.1 states/eV/f.u.
# Theoretical density = 6.8 g/cm3
# E above lowest polymorph = 0.0 meV/atom
data_Mn2V8Cr
_symmetry_space_group_name_H-M 'P 1'
_symmetry_Int_Tables_number 1
_symmetry_space_group_name_Hall 'P 1'
_cell_length_a 7.614
_cell_length_b 7.614
_cell_length_c 6.620
_cell_angle_alpha 105.91
_cell_angle_beta 105.91
_cell_angle_gamma 22.17
loop_
_atom_site_label
_atom_site_fract_x
_atom_site_fract_y
_atom_site_fract_z
Mn1 0.228 0.228 0.134
Mn2 0.772 0.772 0.866
V1 0.044 0.044 0.235
V2 0.139 0.139 0.685
V3 0.317 0.317 0.594
V4 0.405 0.405 0.037
V5 0.595 0.595 0.963
V6 0.683 0.683 0.406
V7 0.861 0.861 0.315
V8 0.956 0.956 0.765
Cr1 0.500 0.500 0.500



# 2
# Y2Tm4Sc, relaxed, DFT PBE
# Calculated formation energy = 0.17 eV/atom
# Magnetization = 0.000 μB/atom
# Space group = Pbca
# DOS at the Fermi energy = 11.0 states/eV/f.u.
# Theoretical density = 7.0 g/cm3
# E above lowest polymorph = 27.8 meV/atom
data_Y2Tm4Sc
_symmetry_space_group_name_H-M 'P 1'
_symmetry_Int_Tables_number 1
_symmetry_space_group_name_Hall 'P 1'
_cell_length_a 5.461
_cell_length_b 12.120
_cell_length_c 12.935
_cell_angle_alpha 90.00
_cell_angle_beta 90.00
_cell_angle_gamma 90.00
loop_
_atom_site_label
_atom_site_fract_x
_atom_site_fract_y
_atom_site_fract_z
Y1 0.001 0.070 0.155
Y2 0.001 0.430 0.655
Y3 0.499 0.570 0.155
Y4 0.499 0.930 0.655
Y5 0.501 0.070 0.345
Y6 0.501 0.430 0.845
Y7 0.999 0.570 0.345
Y8 0.999 0.930 0.845
Tm1 0.002 0.147 0.680
Tm2 0.002 0.246 0.925
Tm3 0.002 0.254 0.425
Tm4 0.002 0.353 0.180
Tm5 0.498 0.647 0.680
Tm6 0.498 0.746 0.925
Tm7 0.498 0.754 0.425
Tm8 0.498 0.853 0.180
Tm9 0.502 0.147 0.820
Tm10 0.502 0.246 0.575
Tm11 0.502 0.254 0.075
Tm12 0.502 0.353 0.320
Tm13 0.998 0.647 0.820
Tm14 0.998 0.746 0.575
Tm15 0.998 0.754 0.075
Tm16 0.998 0.853 0.320
Sc1 0.000 0.000 0.500
Sc2 0.000 0.500 0.000
Sc3 0.500 0.000 0.000
Sc4 0.500 0.500 0.500



# 3
# RbBPb, relaxed, DFT PBE
# Calculated formation energy = 0.45 eV/atom
# Magnetization = 0.000 μB/atom
# Space group = P2_1/c
# DOS at the Fermi energy = 1.1 states/eV/f.u.
# Theoretical density = 5.5 g/cm3
data_RbBPb
_symmetry_space_group_name_H-M 'P 1'
_symmetry_Int_Tables_number 1
_symmetry_space_group_name_Hall 'P 1'
_cell_length_a 7.637
_cell_length_b 7.519
_cell_length_c 6.753
_cell_angle_alpha 90.00
_cell_angle_beta 109.21
_cell_angle_gamma 90.00
loop_
_atom_site_label
_atom_site_fract_x
_atom_site_fract_y
_atom_site_fract_z
Rb1 0.169 0.191 0.148
Rb2 0.169 0.309 0.648
Rb3 0.831 0.691 0.352
Rb4 0.831 0.809 0.852
B1 0.454 0.593 0.977
B2 0.454 0.907 0.477
B3 0.546 0.093 0.523
B4 0.546 0.407 0.023
Pb1 0.344 0.634 0.319
Pb2 0.344 0.866 0.819
Pb3 0.656 0.134 0.181
Pb4 0.656 0.366 0.681



# 4
# SrAcPd, relaxed, DFT PBE
# Calculated formation energy = -0.38 eV/atom
# Magnetization = 0.000 μB/atom
# Space group = F-43m
# DOS at the Fermi energy = 3.0 states/eV/f.u.
# Theoretical density = 6.6 g/cm3
# E above lowest polymorph = 158.6 meV/atom
data_SrAcPd
_symmetry_space_group_name_H-M 'P 1'
_symmetry_Int_Tables_number 1
_symmetry_space_group_name_Hall 'P 1'
_cell_length_a 5.321
_cell_length_b 5.321
_cell_length_c 5.321
_cell_angle_alpha 60.00
_cell_angle_beta 60.00
_cell_angle_gamma 60.00
loop_
_atom_site_label
_atom_site_fract_x
_atom_site_fract_y
_atom_site_fract_z
Sr1 0.000 0.000 0.000
Ac1 0.500 0.500 0.500
Pd1 0.750 0.750 0.750



# 5
# La2MgAlTe5, relaxed, DFT PBE
# Magnetization = 0.000 μB/atom
# Space group = Cmc2_1
# DOS at the Fermi energy = 2.2 states/eV/f.u.
# ΔE_f (raw) = -1.096 eV per atom
# Theoretical density = 5.8 g/cm3
data_La2MgAlTe5
_symmetry_space_group_name_H-M 'P 1'
_symmetry_Int_Tables_number 1
_symmetry_space_group_name_Hall 'P 1'
_cell_length_a 10.018
_cell_length_b 10.018
_cell_length_c 13.039
_cell_angle_alpha 90.00
_cell_angle_beta 90.00
_cell_angle_gamma 154.88
loop_
_atom_site_label
_atom_site_fract_x
_atom_site_fract_y
_atom_site_fract_z
La1 0.116 0.884 0.500
La2 0.128 0.872 0.131
La3 0.872 0.128 0.631
La4 0.884 0.116 0.000
Mg1 0.209 0.791 0.842
Mg2 0.791 0.209 0.342
Al1 0.431 0.569 0.274
Al2 0.569 0.431 0.774
Te1 0.047 0.953 0.885
Te2 0.287 0.713 0.491
Te3 0.311 0.689 0.180
Te4 0.357 0.643 0.819
Te5 0.500 0.500 0.102
Te6 0.500 0.500 0.602
Te7 0.643 0.357 0.319
Te8 0.689 0.311 0.680
Te9 0.713 0.287 0.991
Te10 0.953 0.047 0.385



# 6
# Ta2HgPdCl, relaxed, DFT PBE
# Magnetization = 0.000 μB/atom
# Space group = P4/mmm
# DOS at the Fermi energy = 4.8 states/eV/f.u.
# ΔE_f (raw) = 1.337 eV per atom
# Theoretical density = 10.0 g/cm3
data_Ta2HgPdCl
_symmetry_space_group_name_H-M 'P 1'
_symmetry_Int_Tables_number 1
_symmetry_space_group_name_Hall 'P 1'
_cell_length_a 4.987
_cell_length_b 4.987
_cell_length_c 4.699
_cell_angle_alpha 90.00
_cell_angle_beta 90.00
_cell_angle_gamma 90.00
loop_
_atom_site_label
_atom_site_fract_x
_atom_site_fract_y
_atom_site_fract_z
Ta1 0.000 0.500 0.000
Ta2 0.500 0.000 0.000
Hg1 0.000 0.000 0.500
Pd1 0.500 0.500 0.000
Cl1 0.500 0.500 0.500



# 7
# SrTcRh, relaxed, DFT PBE
# Calculated formation energy = 0.14 eV/atom
# Magnetization = 0.000 μB/atom
# Space group = Cm
# DOS at the Fermi energy = 3.0 states/eV/f.u.
# Theoretical density = 6.8 g/cm3
# E above lowest polymorph = 51.5 meV/atom
data_SrTcRh
_symmetry_space_group_name_H-M 'P 1'
_symmetry_Int_Tables_number 1
_symmetry_space_group_name_Hall 'P 1'
_cell_length_a 6.198
_cell_length_b 6.198
_cell_length_c 7.606
_cell_angle_alpha 125.37
_cell_angle_beta 125.37
_cell_angle_gamma 37.63
loop_
_atom_site_label
_atom_site_fract_x
_atom_site_fract_y
_atom_site_fract_z
Sr1 0.000 0.000 0.000
Sr2 0.149 0.149 0.572
Tc1 0.436 0.436 0.578
Tc2 0.809 0.809 0.376
Rh1 0.335 0.335 0.166
Rh2 0.679 0.679 0.927



# 8
# CsCeP4O12, relaxed, DFT PBE
# Magnetization = 0.056 μB/atom
# Space group = P2_1
# DOS at the Fermi energy = 7.7 states/eV/f.u.
# ΔE_f (raw) = -2.435 eV per atom
# Theoretical density = 3.3 g/cm3
data_CsCeP4O12
_symmetry_space_group_name_H-M 'P 1'
_symmetry_Int_Tables_number 1
_symmetry_space_group_name_Hall 'P 1'
_cell_length_a 7.281
_cell_length_b 9.360
_cell_length_c 8.940
_cell_angle_alpha 90.00
_cell_angle_beta 99.48
_cell_angle_gamma 90.00
loop_
_atom_site_label
_atom_site_fract_x
_atom_site_fract_y
_atom_site_fract_z
Cs1 0.169 0.000 0.172
Cs2 0.831 0.500 0.828
Ce1 0.298 0.165 0.697
Ce2 0.702 0.665 0.303
P1 0.146 0.539 0.543
P2 0.193 0.592 0.226
P3 0.415 0.390 0.073
P4 0.438 0.774 0.624
P5 0.562 0.274 0.376
P6 0.585 0.890 0.927
P7 0.807 0.092 0.774
P8 0.854 0.039 0.457
O1 0.008 0.135 0.817
O2 0.041 0.110 0.492
O3 0.162 0.404 0.632
O4 0.225 0.463 0.113
O5 0.226 0.509 0.388
O6 0.287 0.651 0.638
O7 0.342 0.703 0.229
O8 0.348 0.917 0.594
O9 0.357 0.317 0.925
O10 0.427 0.995 0.908
O11 0.428 0.220 0.473
O12 0.453 0.266 0.201
O13 0.547 0.766 0.799
O14 0.572 0.720 0.527
O15 0.573 0.495 0.092
O16 0.643 0.817 0.075
O17 0.652 0.417 0.406
O18 0.658 0.203 0.771
O19 0.713 0.151 0.362
O20 0.774 0.009 0.612
O21 0.775 0.963 0.887
O22 0.838 0.904 0.368
O23 0.959 0.610 0.508
O24 0.992 0.635 0.183